[1]
Here is BeCu2Tc after structural relaxation from the Alexandria database. Energies are from PBE-GGA.

calculated volume = 47.0 Å³ per cell
total moment = 0.00 μB per formula unit
electronic total energy = -21.814 eV per cell
E_form = 0.5 eV/f.u.

```
BeCu2Tc
1.0
-0.932 -2.821 -2.652
0.634 -2.421 2.352
-3.278 0.128 1.016
Tc Cu Be
1 2 1
direct
0.500 0.500 0.000 Tc
0.000 0.000 0.000 Cu
0.000 0.500 0.500 Cu
0.500 0.000 0.500 Be
```


[2]
Here is NdMgNi2H6 after structural relaxation from the Alexandria database. Energies are from PBE-GGA.

calculated volume = 90.3 Å³ per cell
total moment = 0.00 μB per formula unit
electronic total energy = -41.012 eV per cell

```
NdMgNi2H6
1.0
-4.127 -0.482 1.605
-3.151 -1.920 -2.496
-1.115 -5.498 1.662
H Ni Nd Mg
6 2 1 1
direct
0.430 0.430 0.203 H
0.430 0.938 0.203 H
0.570 0.062 0.797 H
0.062 0.570 0.797 H
0.570 0.570 0.797 H
0.938 0.430 0.203 H
0.791 0.791 0.628 Ni
0.209 0.209 0.372 Ni
0.000 0.000 0.000 Nd
0.500 0.500 0.500 Mg
```


[3]
Here is MgIr3Br after structural relaxation from the Alexandria database. Energies are from PBE-GGA.

calculated volume = 99.6 Å³ per cell
total moment = 0.00 μB per formula unit
formation energy (no corrections) = 1459 meV/atom
electronic total energy = -22.555 eV per cell

```
MgIr3Br
1.0
-4.581 -0.706 0.055
0.679 -4.285 1.633
-0.198 1.622 4.338
Ir Br Mg
3 1 1
direct
0.500 0.000 0.000 Ir
0.000 0.500 0.000 Ir
0.000 0.000 0.500 Ir
0.000 0.000 0.000 Br
0.500 0.500 0.500 Mg
```


[4]
Here is Ta3SbOs after structural relaxation from the Alexandria database. Energies are from PBE-GGA.

calculated volume = 116.5 Å³ per cell
total moment = 0.00 μB per formula unit
formation energy (no corrections) = 2300 meV/atom
electronic total energy = -39.408 eV per cell

```
Ta3SbOs
1.0
-1.582 0.856 -4.541
-0.309 -4.809 -0.799
-4.611 0.029 1.612
Ta Os Sb
3 1 1
direct
0.000 0.000 0.500 Ta
0.000 0.500 0.000 Ta
0.500 0.000 0.000 Ta
0.500 0.500 0.500 Os
0.000 0.000 0.000 Sb
```


[5]
Here is ZrScTeIr2 after structural relaxation from the Alexandria database. Energies are from PBE-GGA.

calculated volume = 121.9 Å³ per cell
total moment = 0.48 μB per formula unit
formation energy (no corrections) = 793 meV/atom
electronic total energy = -31.778 eV per cell

```
ZrScTeIr2
1.0
-4.330 1.185 -1.911
-2.088 -4.148 2.158
-1.049 2.604 3.990
Te Ir Sc Zr
1 2 1 1
direct
0.000 0.000 0.000 Te
0.000 0.000 0.500 Ir
0.500 0.000 0.000 Ir
0.500 0.500 0.500 Sc
0.000 0.500 0.000 Zr
```


[6]
Here is RuPb2Br after structural relaxation from the Alexandria database. Energies are from PBE-GGA.

calculated volume = 99.8 Å³ per cell
total moment = 0.00 μB per formula unit
formation energy (no corrections) = 155 meV/atom
electronic total energy = -17.747 eV per cell

```
RuPb2Br
1.0
3.653 -0.044 0.022
1.871 3.138 0.022
1.756 0.984 8.656
Pb Ru Br
2 1 1
direct
0.487 0.487 0.537 Pb
0.013 0.013 0.963 Pb
0.750 0.750 0.750 Ru
0.250 0.250 0.250 Br
```


[7]
Here is LiReTe2Br after structural relaxation from the Alexandria database. Energies are from PBE-GGA.

calculated volume = 124.4 Å³ per cell
total moment = 3.71 μB per formula unit
formation energy (no corrections) = 964 meV/atom
electronic total energy = -17.500 eV per cell

```
LiReTe2Br
1.0
-3.182 -1.989 3.679
2.811 -3.478 0.550
2.597 2.684 3.697
Br Li Te Re
1 1 2 1
direct
0.000 0.500 0.000 Br
0.000 0.000 0.000 Li
0.500 0.000 0.000 Te
0.000 0.000 0.500 Te
0.500 0.500 0.500 Re
```


[8]
Here is SmZnSn after structural relaxation from the Alexandria database. Energies are from PBE-GGA.

calculated volume = 216.7 Å³ per cell
total moment = 0.00 μB per formula unit
electronic total energy = -35.378 eV per cell
E_form = -1.8 eV/f.u.

```
SmZnSn
1.0
4.589 0.000 0.000
-2.295 3.975 0.000
0.000 0.000 11.878
Zn Sn Sm
3 3 3
direct
0.161 0.323 0.875 Zn
0.161 0.323 0.125 Zn
0.828 0.656 0.500 Zn
0.828 0.656 0.179 Sn
0.161 0.323 0.500 Sn
0.828 0.656 0.821 Sn
0.495 0.989 0.668 Sm
0.495 0.989 0.332 Sm
0.495 0.989 0.000 Sm
```


[9]
Here is Ca2Ni after structural relaxation from the Alexandria database. Energies are from PBE-GGA.

calculated volume = 173.3 Å³ per cell
total moment = 0.00 μB per formula unit
electronic total energy = -20.367 eV per cell
E_form = -0.4 eV/f.u.

```
Ca2Ni
1.0
-0.385 -3.360 -2.154
5.867 -0.009 -1.032
2.265 -5.638 4.668
Ni Ca
2 4
direct
0.236 0.389 0.529 Ni
0.764 0.611 0.471 Ni
0.409 0.706 0.179 Ca
0.836 0.176 0.326 Ca
0.164 0.824 0.674 Ca
0.591 0.294 0.821 Ca
```


[10]
Here is SiSnAu2 after structural relaxation from the Alexandria database. Energies are from PBE-GGA.

calculated volume = 82.8 Å³ per cell
total moment = 0.00 μB per formula unit
formation energy (no corrections) = -6 meV/atom
electronic total energy = -16.004 eV per cell

```
SiSnAu2
1.0
3.795 0.000 0.000
1.897 3.286 0.000
1.897 1.095 6.640
Si Au Sn
1 2 1
direct
0.000 0.000 0.000 Si
0.264 0.264 0.208 Au
0.736 0.736 0.792 Au
0.500 0.500 0.500 Sn
```